Entry from the Alexandria database: an optimized crystal structure of LiZnIr (PBE).

Cell: 2.8604 4.5134 13.2686 Å, 90.00 90.00 90.00°
Last column: nearest neighbours and their distance in Å.
Space group Fmm2 (No. 42)
Symmetry-distinct sites (fractional):
Li  0.0000  0.0000  0.0000  2 Ir 2.57, 6 Li 2.67-2.86, 2 Zn 2.71
Zn  0.0000  0.0000  0.6732  2 Ir 2.63, 6 Zn 2.67-2.86, 2 Li 2.71
Ir  0.0000  0.0000  0.3394  2 Li 2.57, 2 Zn 2.63, 6 Ir 2.67-2.86

Offset from the most stable computed form (eV per formula unit): 0.324
Energy of formation from the pure elements (meV/atom): -111
Theoretical density (g cm⁻³): 10.26